No. 1
Entry from Alexandria via LeMat-Bulk: a crystal of Pb8Au relaxed with PBEsol (SCAN).

The structure in extended XYZ format:
```
9
Lattice="-5.288 5.288 2.250 5.288 -5.288 2.250 5.288 5.288 -2.250" Properties=species:S:1:pos:R:3 pbc="T T T"
Pb 3.489 0.000 0.000
Pb 7.087 0.000 0.000
Pb 0.000 3.489 0.000
Pb 3.622 3.622 0.000
Pb 1.666 -1.666 2.250
Pb -1.666 1.666 2.250
Pb 1.666 1.666 2.250
Pb 0.000 7.087 0.000
Au 0.000 0.000 0.000
```

Calculated values
- calculated volume (Å³ per atom) = 27.97
- space-group type = I4/mmm (139)
- E_form (eV/f.u.) = 0.240
- size of the total moment (μB/cell) = 0.00
- energy (eV/atom) = -75.0184

---

No. 2
Entry from Alexandria via LeMat-Bulk: a crystal of SnMo2P2 relaxed with PBEsol (SCAN).

The structure in extended XYZ format:
```
10
Lattice="3.484 0.000 0.000 0.000 3.484 0.000 0.000 0.000 12.900" Properties=species:S:1:pos:R:3 pbc="T T T"
Sn 0.000 0.000 0.000
Sn 1.742 1.742 6.450
Mo 0.000 0.000 4.906
Mo 0.000 0.000 7.994
Mo 1.742 1.742 1.544
Mo 1.742 1.742 11.356
P 0.000 1.742 3.225
P 0.000 1.742 9.675
P 1.742 0.000 3.225
P 1.742 0.000 9.675
```

Calculated values
- calculated volume (Å³ per atom) = 15.66
- space-group type = I4/mmm (139)
- E_form (eV/f.u.) = -0.738
- size of the total moment (μB/cell) = 0.00
- energy (eV/atom) = -25.4453

---

No. 3
Entry from Alexandria via LeMat-Bulk: a crystal of CaIr3Os relaxed with PBEsol (SCAN).

The structure in extended XYZ format:
```
5
Lattice="4.736 0.000 0.000 0.000 4.736 0.000 0.000 0.000 4.736" Properties=species:S:1:pos:R:3 pbc="T T T"
Ca 0.000 0.000 0.000
Ir 0.000 2.368 2.368
Ir 2.368 0.000 2.368
Ir 2.368 2.368 0.000
Os 2.368 2.368 2.368
```

Calculated values
- calculated volume (Å³ per atom) = 21.25
- space-group type = Pm-3m (221)
- E_form (eV/f.u.) = 4.751
- size of the total moment (μB/cell) = 0.00
- energy (eV/atom) = -58.0179

---

No. 4
Entry from Alexandria via LeMat-Bulk: a crystal of Cd2InHg relaxed with PBEsol (SCAN).

The structure in extended XYZ format:
```
4
Lattice="3.188 0.000 0.000 0.000 3.188 0.000 0.000 0.000 8.788" Properties=species:S:1:pos:R:3 pbc="T T T"
Cd 0.000 0.000 0.000
Cd 1.594 1.594 2.051
In 1.594 1.594 6.497
Hg 0.000 0.000 4.172
```

Calculated values
- calculated volume (Å³ per atom) = 22.33
- space-group type = P4mm (99)
- relative energy among the computed polymorphs (meV per atom) = 18
- E_form (eV/f.u.) = 0.142
- size of the total moment (μB/cell) = 0.00
- energy (eV/atom) = -40.5597

---

No. 5
Entry from Alexandria via LeMat-Bulk: a crystal of LiZnRh3 relaxed with PBEsol (SCAN).

The structure in extended XYZ format:
```
5
Lattice="4.520 0.000 0.000 0.000 4.520 0.000 0.000 0.000 4.520" Properties=species:S:1:pos:R:3 pbc="T T T"
Li 0.000 0.000 0.000
Zn 2.260 2.260 2.260
Rh 0.000 2.260 2.260
Rh 2.260 0.000 2.260
Rh 2.260 2.260 0.000
```

Calculated values
- calculated volume (Å³ per atom) = 18.47
- space-group type = Pm-3m (221)
- E_form (eV/f.u.) = 4.745
- size of the total moment (μB/cell) = 2.63
- energy (eV/atom) = -22.4949

---

No. 6
Entry from Alexandria via LeMat-Bulk: a crystal of LiInHgPb2 relaxed with PBEsol (SCAN).

The structure in extended XYZ format:
```
5
Lattice="5.735 0.000 0.000 0.000 5.735 0.000 0.000 0.000 5.395" Properties=species:S:1:pos:R:3 pbc="T T T"
Li 0.000 0.000 0.000
In 2.867 2.867 0.000
Hg 2.867 2.867 2.698
Pb 0.000 2.867 2.698
Pb 2.867 0.000 2.698
```

Calculated values
- calculated volume (Å³ per atom) = 35.49
- space-group type = P4/mmm (123)
- E_form (eV/f.u.) = 1.760
- size of the total moment (μB/cell) = 0.00
- energy (eV/atom) = -50.7489

---

No. 7
Entry from Alexandria via LeMat-Bulk: a crystal of Sm9AlSi3S21 relaxed with PBEsol (SCAN).

The structure in extended XYZ format:
```
68
Lattice="8.581 4.954 5.614 -8.581 4.954 5.614 0.000 -9.908 5.614" Properties=species:S:1:pos:R:3 pbc="T T T"
Sm -1.044 -7.115 5.614
Sm -6.550 -2.518 8.517
Sm -7.412 2.022 8.381
Sm -1.988 -2.465 5.700
Sm -5.640 4.462 5.614
Sm -2.937 0.507 8.435
Sm 1.955 -7.430 8.381
Sm -1.141 2.954 5.700
Sm -2.017 -2.438 11.213
Sm 1.029 -2.796 8.435
Sm 3.128 -0.489 5.700
Sm 5.456 -4.413 8.517
Sm 1.907 2.290 8.435
Sm -1.102 2.966 11.213
Sm 1.094 6.931 8.517
Sm 6.684 2.654 5.614
Sm 3.120 -0.528 11.213
Sm 5.457 5.408 8.381
Al 0.000 0.000 4.337
Al 0.000 0.000 12.760
Si -2.844 -4.994 7.973
Si -5.713 0.053 10.780
Si -2.903 4.960 7.973
Si 2.810 -4.974 10.780
Si 5.747 0.034 7.973
Si 2.902 4.921 10.780
S -4.990 1.813 4.325
S -1.272 -1.621 3.037
S -4.129 -3.487 7.155
S -5.613 -0.024 7.262
S 0.925 -5.228 4.325
S -7.116 -3.173 11.322
S -0.768 1.913 3.037
S -0.884 -4.731 7.156
S -2.064 0.334 5.651
S -2.935 -4.994 10.069
S -4.418 -1.443 9.978
S 2.040 -0.291 3.037
S 0.743 -1.955 5.651
S -3.655 3.131 7.156
S -1.476 -1.790 8.525
S -4.952 1.870 9.949
S -4.160 -3.441 12.749
S 2.827 -4.849 7.262
S 0.857 -5.224 9.949
S 1.322 1.620 5.651
S -0.812 2.173 8.525
S -0.956 5.319 7.155
S -2.036 0.334 11.466
S -2.857 5.039 10.069
S 4.066 3.415 4.325
S 2.288 -0.383 8.525
S 0.729 -1.930 11.466
S 5.084 -1.832 7.155
S 3.459 -3.105 9.978
S -1.354 -1.591 14.074
S 4.539 1.600 7.156
S 2.786 4.873 7.262
S 0.959 4.548 9.978
S 1.307 1.596 11.466
S -0.701 1.968 14.074
S -0.900 5.323 12.749
S 6.306 -4.576 11.322
S 5.793 -0.045 10.069
S 4.095 3.354 9.949
S 2.054 -0.377 14.074
S 0.810 7.749 11.322
S 5.060 -1.882 12.749
```

Calculated values
- calculated volume (Å³ per atom) = 21.06
- space-group type = R3 (146)
- ΔE_f (raw) (kJ per mole of atoms) = -184
- size of the total moment (μB/cell) = 0.00
- energy (eV/atom) = -20.7270

---

No. 8
Entry from Alexandria via LeMat-Bulk: a crystal of CaSc2Cr relaxed with PBEsol (SCAN).

The structure in extended XYZ format:
```
4
Lattice="4.926 0.000 0.000 0.000 4.926 0.000 0.000 0.000 3.822" Properties=species:S:1:pos:R:3 pbc="T T T"
Ca 0.000 0.000 0.000
Sc 0.000 2.463 1.911
Sc 2.463 0.000 1.911
Cr 2.463 2.463 0.000
```

Calculated values
- calculated volume (Å³ per atom) = 23.19
- space-group type = P4/mmm (123)
- E_form (eV/f.u.) = 1.305
- size of the total moment (μB/cell) = 4.31
- energy (eV/atom) = -13.8043

---

| no. | theoretical density (g/cm3) |
| --- | --- |
| 1 | 12.2 |
| 2 | 7.9 |
| 3 | 12.6 |
| 4 | 10.0 |
| 5 | 6.9 |
| 6 | 6.9 |
| 7 | 5.0 |
| 8 | 3.3 |